Entry 1:
Below is crystalline Li2Tm2Tl at its relaxed geometry, with properties calculated at the PBE-GGA level.

Summary:
**Magnetization**: 0.001 μB per formula unit
**Energy of formation from the pure elements**: -1.0 kcal/mol of atoms

Cell lengths 8.6888, 5.0369, 5.9261 Å; angles 90.00, 119.44, 90.00 degrees
Space group C2/m (No. 12)
Asymmetric unit:
Li 0.0885 0.0000 0.2609 x4
Tm 0.2208 0.5000 0.1607 x4
Tl 0.0000 0.5000 0.5000 x2

***

Entry 2:
Below is crystalline La6Pr8Y at its relaxed geometry, with properties calculated at the PBE-GGA level.

Summary:
**Magnetization**: 0.000 μB per formula unit
**Energy of formation from the pure elements**: 2.6 kcal/mol of atoms

Cell lengths 10.0361, 10.0361, 18.8857 Å; angles 90.00, 90.00, 120.00 degrees
Space group R-3 (No. 148, hexagonal axes)
Asymmetric unit:
La 0.0208 0.7811 0.4053 x18
Pr 0.0000 0.0000 0.2277 x6
Pr 0.0437 0.7628 0.9020 x18
Y 0.0000 0.0000 0.0000 x3

***

Entry 3:
Below is crystalline TmMnCuC at its relaxed geometry, with properties calculated at the PBE-GGA level.

Summary:
**Magnetization**: 0.947 μB per formula unit
**Energy of formation from the pure elements**: -3.3 kcal/mol of atoms

Cell lengths 3.3362, 3.3362, 9.8619 Å; angles 90.00, 90.00, 90.00 degrees
Space group P4/nmm (No. 129, origin choice 2)
Asymmetric unit:
Tm 0.2500 0.2500 0.2462 x2
Mn 0.2500 0.7500 0.0000 x2
Cu 0.2500 0.7500 0.5000 x2
C 0.2500 0.2500 0.8791 x2